1.
# PBE-GGA LaAl4Au4, optimized geometry
data_LaAl4Au4
_space_group_name_H-M_alt 'P 42/n m c'
_space_group_IT_number 137
_cell_length_a 6.3387
_cell_length_b 6.3387
_cell_length_c 8.8516
_cell_angle_alpha 90.00
_cell_angle_beta 90.00
_cell_angle_gamma 90.00
loop_
_space_group_symop_operation_xyz
'x,y,z'
'-x,-y,-z'
'-y+1/2,x,z+1/2'
'y+1/2,-x,-z+1/2'
'-x+1/2,-y+1/2,z'
'x+1/2,y+1/2,-z'
'y,-x+1/2,z+1/2'
'-y,x+1/2,-z+1/2'
'x+1/2,-y,-z'
'-x+1/2,y,z'
'-y,-x,-z+1/2'
'y,x,z+1/2'
'-x,y+1/2,-z'
'x,-y+1/2,z'
'y+1/2,x+1/2,-z+1/2'
'-y+1/2,-x+1/2,z+1/2'
loop_
_atom_site_label
_atom_site_fract_x
_atom_site_fract_y
_atom_site_fract_z
La1 0.2500 0.7500 0.2500
Al1 0.0241 0.2500 0.1448
Au1 0.0289 0.2500 0.4377
# total magnetization: 0.00 μB per formula unit
# calculated formation energy: -5.2 eV per formula unit

***

2.
# PBE-GGA LaAl4Au12, optimized geometry
data_LaAl4Au12
_space_group_name_H-M_alt 'I m -3'
_space_group_IT_number 204
_space_group_name_Hall '-I 2 2 3'
_cell_length_a 8.9591
_cell_length_b 8.9591
_cell_length_c 8.9591
_cell_angle_alpha 90.00
_cell_angle_beta 90.00
_cell_angle_gamma 90.00
loop_
_atom_site_label
_atom_site_fract_x
_atom_site_fract_y
_atom_site_fract_z
La1 0.0000 0.0000 0.0000
Al1 0.2500 0.2500 0.2500
Au1 0.0000 0.3430 0.1571
# total magnetization: 0.00 μB per formula unit
# calculated formation energy: -3.9 eV per formula unit

***

- What is the calculated formation energy in the first record?
  -5.2 eV per formula unit

***

- Which of these has the lowest calculated formation energy?
  LaAl4Au4

***

- Among the records above, which one has the highest calculated formation energy?
  LaAl4Au12

***

Copy entry 1 word for word.
# PBE-GGA LaAl4Au4, optimized geometry
data_LaAl4Au4
_space_group_name_H-M_alt 'P 42/n m c'
_space_group_IT_number 137
_cell_length_a 6.3387
_cell_length_b 6.3387
_cell_length_c 8.8516
_cell_angle_alpha 90.00
_cell_angle_beta 90.00
_cell_angle_gamma 90.00
loop_
_space_group_symop_operation_xyz
'x,y,z'
'-x,-y,-z'
'-y+1/2,x,z+1/2'
'y+1/2,-x,-z+1/2'
'-x+1/2,-y+1/2,z'
'x+1/2,y+1/2,-z'
'y,-x+1/2,z+1/2'
'-y,x+1/2,-z+1/2'
'x+1/2,-y,-z'
'-x+1/2,y,z'
'-y,-x,-z+1/2'
'y,x,z+1/2'
'-x,y+1/2,-z'
'x,-y+1/2,z'
'y+1/2,x+1/2,-z+1/2'
'-y+1/2,-x+1/2,z+1/2'
loop_
_atom_site_label
_atom_site_fract_x
_atom_site_fract_y
_atom_site_fract_z
La1 0.2500 0.7500 0.2500
Al1 0.0241 0.2500 0.1448
Au1 0.0289 0.2500 0.4377
# total magnetization: 0.00 μB per formula unit
# calculated formation energy: -5.2 eV per formula unit